## w
! BeTlSb2 (GGA-PBE, optimized geometry); values from VASP
&SYSTEM
  ibrav = 0, nat = 4, ntyp = 3
/
ATOMIC_SPECIES
Be 9.01 Be.upf
Tl 204.38 Tl.upf
Sb 121.76 Sb.upf
CELL_PARAMETERS angstrom
-1.9473 3.1466 4.3652
1.9473 -3.1466 4.3652
1.9473 3.1466 -4.3652
ATOMIC_POSITIONS angstrom
Be 0.0000 0.0000 0.0000
Tl 0.0000 0.0000 4.3652
Sb 1.9473 0.0000 1.5542
Sb 0.0000 3.1466 2.8110
! - density (g cm⁻³) = 7.092
! - symmetry = Immm (71)



## x
! BeTlSb2 (GGA-PBE, optimized geometry); values from VASP
&SYSTEM
  ibrav = 0, nat = 4, ntyp = 3
/
ATOMIC_SPECIES
Be 9.01 Be.upf
Tl 204.38 Tl.upf
Sb 121.76 Sb.upf
CELL_PARAMETERS angstrom
5.0946 0.0000 0.0000
0.0000 3.9085 0.0000
-2.4686 0.0000 5.0565
ATOMIC_POSITIONS angstrom
Be 0.0000 0.0000 0.0000
Tl 1.3130 0.0000 2.5282
Sb -1.1309 1.9543 4.0961
Sb 3.7569 1.9543 0.9604
! - density (g cm⁻³) = 7.536
! - symmetry = P2/m (10)



Stability summary: most stable x, least stable w.



## w
! BeTlSb (GGA-PBE, optimized geometry); values from VASP
&SYSTEM
  ibrav = 0, nat = 12, ntyp = 3
/
ATOMIC_SPECIES
Be 9.01 Be.upf
Tl 204.38 Tl.upf
Sb 121.76 Sb.upf
CELL_PARAMETERS angstrom
5.0134 -4.1033 0.0000
5.0134 4.1033 0.0000
0.0000 0.0000 8.1885
ATOMIC_POSITIONS angstrom
Be 5.0134 2.9866 7.0342
Be 5.0134 1.1167 2.9399
Be 5.0134 -1.1167 5.2486
Be 5.0134 -2.9866 1.1543
Tl 1.9541 0.0000 4.0943
Tl 3.0593 0.0000 0.0000
Tl 6.9675 0.0000 0.0000
Tl 8.0727 0.0000 4.0943
Sb 5.0134 2.7880 1.2694
Sb 5.0134 1.3153 5.3636
Sb 5.0134 -1.3153 2.8249
Sb 5.0134 -2.7880 6.9192
! - density (g cm⁻³) = 6.608
! - symmetry = Cmce (64)



## x
! BeTlSb (GGA-PBE, optimized geometry); values from VASP
&SYSTEM
  ibrav = 0, nat = 3, ntyp = 3
/
ATOMIC_SPECIES
Be 9.01 Be.upf
Tl 204.38 Tl.upf
Sb 121.76 Sb.upf
CELL_PARAMETERS angstrom
0.0000 3.2924 3.2924
3.2924 0.0000 3.2924
3.2924 3.2924 0.0000
ATOMIC_POSITIONS angstrom
Be 0.0000 0.0000 0.0000
Tl 4.9386 4.9386 4.9386
Sb 1.6462 1.6462 1.6462
! - density (g cm⁻³) = 7.797
! - symmetry = F-43m (216)



Stability summary: most stable w, least stable x.



## w
! BeTlSb (GGA-PBE, optimized geometry); values from VASP
&SYSTEM
  ibrav = 0, nat = 3, ntyp = 3
/
ATOMIC_SPECIES
Be 9.01 Be.upf
Tl 204.38 Tl.upf
Sb 121.76 Sb.upf
CELL_PARAMETERS angstrom
-1.7934 1.8335 5.9518
1.7934 -1.8335 5.9518
1.7934 1.8335 -5.9518
ATOMIC_POSITIONS angstrom
Be 0.0000 0.0000 0.0000
Tl 0.0000 0.0000 9.1742
Sb 0.0000 0.0000 5.9582
! - density (g cm⁻³) = 7.109
! - symmetry = Imm2 (44)



## x
! BeTlSb (GGA-PBE, optimized geometry); values from VASP
&SYSTEM
  ibrav = 0, nat = 3, ntyp = 3
/
ATOMIC_SPECIES
Be 9.01 Be.upf
Tl 204.38 Tl.upf
Sb 121.76 Sb.upf
CELL_PARAMETERS angstrom
0.0000 2.7783 6.5731
2.0267 0.0000 6.5731
2.0267 2.7783 0.0000
ATOMIC_POSITIONS angstrom
Be 0.0000 0.0000 0.0000
Tl 2.0267 2.7783 8.6576
Sb 2.0267 2.7783 5.2225
! - density (g cm⁻³) = 7.519
! - symmetry = Fmm2 (42)



Stability summary: most stable x, least stable w.